(1)
First-principles (SCAN) data for a PBEsol-optimized structure of CdSi2Pb2, as listed in the Alexandria database.

The structure in CIF format:
```
data_CdSi2Pb2
_chemical_formula_sum 'Cd1 Si2 Pb2'
_symmetry_space_group_name_H-M 'P 1'
_symmetry_Int_Tables_number 1
_symmetry_space_group_name_Hall 'P 1'
_cell_length_a 5.862
_cell_length_b 5.862
_cell_length_c 5.862
_cell_angle_alpha 127.29
_cell_angle_beta 127.29
_cell_angle_gamma 77.78
loop_
_atom_site_label
_atom_site_fract_x
_atom_site_fract_y
_atom_site_fract_z
Cd1 0.000 0.000 0.000
Si1 0.372 0.372 0.000
Si2 0.628 0.628 0.000
Pb1 0.250 0.750 0.500
Pb2 0.750 0.250 0.500
```

space-group type = I4/mmm, No. 139
raw formation energy = 0.4446 eV/atom

---

(2)
First-principles (SCAN) data for a PBEsol-optimized structure of Ho4Ga12Pd, as listed in the Alexandria database.

The structure in CIF format:
```
data_Ho4Ga12Pd
_chemical_formula_sum 'Ho4 Ga12 Pd1'
_symmetry_space_group_name_H-M 'P 1'
_symmetry_Int_Tables_number 1
_symmetry_space_group_name_Hall 'P 1'
_cell_length_a 7.331
_cell_length_b 7.331
_cell_length_c 7.331
_cell_angle_alpha 109.47
_cell_angle_beta 109.47
_cell_angle_gamma 109.47
loop_
_atom_site_label
_atom_site_fract_x
_atom_site_fract_y
_atom_site_fract_z
Ho1 0.000 0.000 0.500
Ho2 0.000 0.500 0.000
Ho3 0.500 0.000 0.000
Ho4 0.500 0.500 0.500
Ga1 0.000 0.297 0.297
Ga2 0.000 0.703 0.703
Ga3 0.250 0.500 0.750
Ga4 0.250 0.750 0.500
Ga5 0.297 0.000 0.297
Ga6 0.297 0.297 0.000
Ga7 0.500 0.250 0.750
Ga8 0.500 0.750 0.250
Ga9 0.703 0.000 0.703
Ga10 0.703 0.703 0.000
Ga11 0.750 0.250 0.500
Ga12 0.750 0.500 0.250
Pd1 0.000 0.000 0.000
```

energy of formation = -685 meV per atom
space-group type = Im-3m, No. 229

---

(3)
First-principles (SCAN) data for a PBEsol-optimized structure of CuPIr, as listed in the Alexandria database.

The structure in CIF format:
```
data_CuPIr
_chemical_formula_sum 'Cu1 P1 Ir1'
_symmetry_space_group_name_H-M 'P 1'
_symmetry_Int_Tables_number 1
_symmetry_space_group_name_Hall 'P 1'
_cell_length_a 4.753
_cell_length_b 4.753
_cell_length_c 4.753
_cell_angle_alpha 142.86
_cell_angle_beta 142.86
_cell_angle_gamma 53.53
loop_
_atom_site_label
_atom_site_fract_x
_atom_site_fract_y
_atom_site_fract_z
Cu1 0.000 0.000 0.000
P1 0.324 0.324 0.000
Ir1 0.693 0.693 0.000
```

energy of formation = 20 meV per atom
space-group type = I4mm, No. 107

---

What are the Fermi-level density of states values for these records? In order: 1.96, 3.43, 1.48 states/eV/f.u..
What are the magnetization values for these records? In order: 0.00, 0.00, 0.00 μB per formula unit.
What are the DFT total energy values for these records? In order: -39.957, -25.678, -32.213 eV/atom.